Material: TbUMn2O8
Method: DFT, GGA+U
State: relaxed

Computed properties:
Theoretical density: 6.68 g/cm3
Space group: C2/m
Energy: -8.23 eV/atom

abc: 4.781 4.781 6.951
angles: 85.81 85.81 86.17
Element x y z (fractional)
O (0.290, 0.290, 0.957)
O (0.211, 0.796, 0.236)
O (0.674, 0.674, 0.511)
O (0.326, 0.326, 0.489)
O (0.710, 0.710, 0.043)
O (0.796, 0.211, 0.236)
O (0.789, 0.204, 0.764)
O (0.204, 0.789, 0.764)
Mn (0.523, 0.523, 0.273)
Mn (0.477, 0.477, 0.727)
Tb (0.000, 0.000, 0.500)
U (0.000, 0.000, 0.000)